Compound: TlZnMo2
Source: the Alexandria database
Functional: SCAN
Structure: single point on PBEsol structure

Cell: 3.080 3.080 9.090 Å, 80.24 80.24 60.00°
Element x y z (fractional)
Mo  0.006  0.006  0.983
Mo  0.737  0.737  0.790
Tl  0.499  0.499  0.502
Zn  0.259  0.259  0.224

Results
Energy above the lowest structure with this stoichiometry: 0.103 eV per atom
Calculated total energy: -153.90 eV per cell
Density of states at the Fermi level: 2.23 states/eV/f.u.
Magnetic moment: 0.00 Bohr magnetons per cell
Formation energy: 0.435 eV/atom